Computed, not measured: crystalline Sr2CaBr2 at its relaxed geometry at the GGA-PBEsol level of DFT. Values from VASP.

Structure (Quantum ESPRESSO input):
```
&SYSTEM
  ibrav = 0, nat = 5, ntyp = 3
/
ATOMIC_SPECIES
Sr 87.62 Sr.upf
Br 79.90 Br.upf
Ca 40.08 Ca.upf
CELL_PARAMETERS angstrom
-1.130 -4.722 -1.680
5.011 -1.035 -0.461
-1.814 0.302 8.225
ATOMIC_POSITIONS angstrom
Sr 0.092 -1.880 5.222
Br -0.502 -3.649 2.737
Ca 0.000 0.000 0.000
Sr 1.975 -3.574 0.862
Br 2.569 -1.806 3.347
```


! GGA-PBEsol Sr2CaBr, optimized geometry; values from VASP
&SYSTEM
  ibrav = 0, nat = 4, ntyp = 3
/
ATOMIC_SPECIES
Sr 87.62 Sr.upf
Br 79.90 Br.upf
Ca 40.08 Ca.upf
CELL_PARAMETERS angstrom
4.220 0.000 0.000
0.000 5.893 0.000
0.000 0.000 6.837
ATOMIC_POSITIONS angstrom
Sr 2.110 0.000 3.418
Br 2.110 2.947 0.000
Ca 0.000 2.947 3.418
Sr 0.000 0.000 0.000
! ΔE to the lowest computed polymorph	1.43	eV per formula unit


! GGA-PBEsol Sr2CaBr, optimized geometry; values from VASP
&SYSTEM
  ibrav = 0, nat = 4, ntyp = 3
/
ATOMIC_SPECIES
Sr 87.62 Sr.upf
Br 79.90 Br.upf
Ca 40.08 Ca.upf
CELL_PARAMETERS angstrom
3.851 0.000 0.000
0.000 3.851 0.000
0.000 0.000 10.393
ATOMIC_POSITIONS angstrom
Sr 0.000 0.000 2.245
Br 1.926 1.926 0.000
Sr 0.000 0.000 8.148
Ca 1.926 1.926 5.196
! ΔE to the lowest computed polymorph	0.29	eV per formula unit


! GGA-PBEsol SrCaBr2, optimized geometry; values from VASP
&SYSTEM
  ibrav = 0, nat = 4, ntyp = 3
/
ATOMIC_SPECIES
Sr 87.62 Sr.upf
Br 79.90 Br.upf
Ca 40.08 Ca.upf
CELL_PARAMETERS angstrom
-3.298 0.742 1.796
-1.876 -0.315 -3.315
-0.295 -9.486 3.270
ATOMIC_POSITIONS angstrom
Sr -4.543 -5.205 0.861
Br -1.754 -3.894 1.362
Br -2.974 0.085 1.674
Ca -2.379 -8.576 2.159
! ΔE to the lowest computed polymorph	0.00	eV per formula unit


! GGA-PBEsol SrCaBr2, optimized geometry; values from VASP
&SYSTEM
  ibrav = 0, nat = 4, ntyp = 3
/
ATOMIC_SPECIES
Ca 40.08 Ca.upf
Br 79.90 Br.upf
Sr 87.62 Sr.upf
CELL_PARAMETERS angstrom
-1.139 -3.061 -2.273
3.288 0.100 -5.265
4.500 -4.278 0.024
ATOMIC_POSITIONS angstrom
Ca 3.894 -2.089 -2.621
Br 1.346 -3.372 -3.099
Sr -0.569 -1.531 -1.136
Br 5.303 -3.867 -4.415
! ΔE to the lowest computed polymorph	0.57	eV per formula unit


! GGA-PBEsol SrCaBr2, optimized geometry; values from VASP
&SYSTEM
  ibrav = 0, nat = 4, ntyp = 3
/
ATOMIC_SPECIES
Br 79.90 Br.upf
Ca 40.08 Ca.upf
Sr 87.62 Sr.upf
CELL_PARAMETERS angstrom
-2.444 -3.173 -1.098
4.202 0.672 -4.398
3.470 -1.902 4.668
ATOMIC_POSITIONS angstrom
Br 2.101 0.336 -2.199
Ca 0.000 0.000 0.000
Br 1.735 -0.951 2.334
Sr 3.836 -0.615 0.135
! ΔE to the lowest computed polymorph	0.62	eV per formula unit


! GGA-PBEsol SrCaBr2, optimized geometry; values from VASP
&SYSTEM
  ibrav = 0, nat = 4, ntyp = 3
/
ATOMIC_SPECIES
Sr 87.62 Sr.upf
Ca 40.08 Ca.upf
Br 79.90 Br.upf
CELL_PARAMETERS angstrom
-1.825 1.294 3.013
2.678 -1.402 2.224
5.168 8.824 -0.659
ATOMIC_POSITIONS angstrom
Sr 3.010 4.358 2.289
Ca 0.426 -0.054 2.618
Br 3.456 5.900 -0.441
Br 1.712 2.924 -0.219
! ΔE to the lowest computed polymorph	0.71	eV per formula unit


! GGA-PBEsol Sr2CaBr, optimized geometry; values from VASP
&SYSTEM
  ibrav = 0, nat = 4, ntyp = 3
/
ATOMIC_SPECIES
Sr 87.62 Sr.upf
Ca 40.08 Ca.upf
Br 79.90 Br.upf
CELL_PARAMETERS angstrom
-2.812 -1.093 2.731
1.141 -1.506 3.604
-0.421 9.320 6.327
ATOMIC_POSITIONS angstrom
Sr -1.575 4.617 9.321
Ca 0.000 0.000 0.000
Sr -0.517 2.104 3.341
Br -1.046 3.361 6.331
! ΔE to the lowest computed polymorph	0.00	eV per formula unit


Computed total moment (Bohr magnetons per cell) in order:
0.00; 0.00; 0.00; 0.00; 0.01; 1.19; 0.00; 0.00
Computed V (Å³/cell) in order:
200.73; 170.03; 154.13; 144.18; 131.40; 134.76; 144.30; 158.12
Computed E (eV per formula unit) in order:
-14.998; -9.161; -10.303; -13.426; -12.852; -12.808; -12.717; -10.591